# ZnCoTeO6

Crystalline ZnCoTeO6 at its relaxed geometry (GGA+U, the Alexandria database).

a = 5.001 Å, b = 5.001 Å, c = 9.093 Å
α = 90.00°, β = 90.00°, γ = 120.00°
Fractional coordinates of all 18 atoms:
Zn 0.000 0.000 0.000
Zn 0.000 0.000 0.500
Co 0.333 0.667 0.250
Co 0.667 0.333 0.750
Te 0.333 0.667 0.750
Te 0.667 0.333 0.250
O 0.010 0.361 0.135
O 0.010 0.649 0.365
O 0.351 0.361 0.365
O 0.351 0.990 0.135
O 0.361 0.010 0.635
O 0.361 0.351 0.865
O 0.639 0.649 0.135
O 0.639 0.990 0.365
O 0.649 0.010 0.865
O 0.649 0.639 0.635
O 0.990 0.351 0.635
O 0.990 0.639 0.865

The calculation puts the spin magnetization at 2.1 μB per cell. The volume is 197.0 Å³/cell. The space-group type is P-31c. The calculation puts the total energy at -5.323 eV/atom.